Entry 1:
VASP calculation (PBE-GGA) on a geometry-optimized EuThCd2 structure.

abc: 5.477 5.477 5.477
angles: 60.00 60.00 60.00
Last column: magnetic moment on the atom in μB.
Element x y z (fractional)
Eu (0.500, 0.500, 0.500)  6.90
Th (0.000, 0.000, 0.000)  0.28
Cd (0.250, 0.250, 0.250)  0.01
Cd (0.750, 0.750, 0.750)  0.01

Output
M_tot = 7.88 μB/cell
formation energy from the elements = -0.147 eV/atom
space group = Fm-3m
D(E_F) = 6.30 states/eV/f.u.
V = 116 Å³/cell
energy above the lowest structure with this stoichiometry = 0.046 eV/atom


Entry 2:
VASP calculation (PBE-GGA) on a geometry-optimized EuThCd2 structure.

abc: 3.572 3.572 10.973
angles: 80.63 80.63 60.00
Last column: magnetic moment on the atom in μB.
Element x y z (fractional)
Eu (0.500, 0.500, 0.500)  -6.97
Th (0.000, 0.000, 0.000)  0.03
Cd (0.750, 0.750, 0.749)  0.00
Cd (0.250, 0.250, 0.251)  0.00

Output
M_tot = 7.30 μB/cell
formation energy from the elements = -0.045 eV/atom
space group = R-3m
D(E_F) = 3.74 states/eV/f.u.
V = 119 Å³/cell
energy above the lowest structure with this stoichiometry = 0.148 eV/atom


Entry 3:
VASP calculation (PBE-GGA) on a geometry-optimized EuThCd2 structure.

abc: 3.821 3.821 8.023
angles: 90.00 90.00 90.00
Last column: magnetic moment on the atom in μB.
Element x y z (fractional)
Eu (0.500, 0.500, 0.500)  6.89
Th (0.500, 0.500, 0.000)  0.05
Cd (0.000, 0.000, 0.756)  0.00
Cd (0.000, 0.000, 0.244)  0.00

Output
M_tot = 7.31 μB/cell
formation energy from the elements = -0.193 eV/atom
space group = P4/mmm
D(E_F) = 7.23 states/eV/f.u.
V = 117 Å³/cell
energy above the lowest structure with this stoichiometry = 0.000 eV/atom


Entry 4:
VASP calculation (PBE-GGA) on a geometry-optimized EuThTlCd structure.

abc: 5.517 5.517 5.517
angles: 60.00 60.00 60.00
Last column: magnetic moment on the atom in μB.
Element x y z (fractional)
Eu (0.000, 0.000, 0.000)  6.93
Tl (0.750, 0.750, 0.750)  -0.01
Th (0.500, 0.500, 0.500)  0.32
Cd (0.250, 0.250, 0.250)  0.03

Output
M_tot = 8.03 μB/cell
formation energy from the elements = -0.182 eV/atom
space group = F-43m
D(E_F) = 5.14 states/eV/f.u.
V = 119 Å³/cell


Entry 5:
VASP calculation (PBE-GGA) on a geometry-optimized EuThZnCd structure.

abc: 5.361 5.361 5.361
angles: 60.00 60.00 60.00
Last column: magnetic moment on the atom in μB.
Element x y z (fractional)
Eu (0.500, 0.500, 0.500)  6.89
Zn (0.250, 0.250, 0.250)  0.01
Th (0.000, 0.000, 0.000)  0.27
Cd (0.750, 0.750, 0.750)  0.01

Output
M_tot = 7.83 μB/cell
formation energy from the elements = -0.131 eV/atom
space group = F-43m
D(E_F) = 3.22 states/eV/f.u.
V = 109 Å³/cell


Entry 6:
VASP calculation (PBE-GGA) on a geometry-optimized EuTlCd2 structure.

abc: 4.994 4.695 4.695
angles: 90.00 90.00 90.00
Last column: magnetic moment on the atom in μB.
Element x y z (fractional)
Eu (0.500, 0.500, 0.500)  6.89
Tl (0.500, 0.000, 0.000)  0.05
Cd (0.000, 0.000, 0.500)  0.01
Cd (0.000, 0.500, 0.000)  0.01

Output
M_tot = 7.39 μB/cell
formation energy from the elements = -0.243 eV/atom
space group = P4/mmm
D(E_F) = 9.98 states/eV/f.u.
V = 110 Å³/cell


Entry 7:
VASP calculation (PBE-GGA) on a geometry-optimized EuTlCd structure.

abc: 5.149 5.149 5.149
angles: 60.00 60.00 60.00
Last column: magnetic moment on the atom in μB.
Element x y z (fractional)
Eu (0.000, 0.000, 0.000)  6.86
Tl (0.500, 0.500, 0.500)  0.01
Cd (0.250, 0.250, 0.250)  0.01

Output
M_tot = 7.15 μB/cell
formation energy from the elements = -0.178 eV/atom
space group = F-43m
D(E_F) = 12.42 states/eV/f.u.
V = 97 Å³/cell


Entry 8:
VASP calculation (PBE-GGA) on a geometry-optimized Eu2TlCd structure.

abc: 3.876 3.876 10.539
angles: 79.40 79.40 60.00
Last column: magnetic moment on the atom in μB.
Element x y z (fractional)
Eu (0.250, 0.250, 0.251)  6.98
Eu (0.750, 0.750, 0.749)  6.98
Tl (0.000, 0.000, 0.000)  0.01
Cd (0.500, 0.500, 0.500)  0.05

Output
M_tot = 15.08 μB/cell
formation energy from the elements = -0.217 eV/atom
space group = R-3m
D(E_F) = 13.76 states/eV/f.u.
V = 134 Å³/cell


Entry 9:
VASP calculation (PBE-GGA) on a geometry-optimized Eu2TlCd structure.

abc: 5.600 5.600 5.600
angles: 60.00 60.00 60.00
Last column: magnetic moment on the atom in μB.
Element x y z (fractional)
Eu (0.500, 0.500, 0.500)  6.84
Eu (0.000, 0.000, 0.000)  6.84
Tl (0.750, 0.750, 0.750)  0.01
Cd (0.250, 0.250, 0.250)  0.00

Output
M_tot = 14.17 μB/cell
formation energy from the elements = -0.400 eV/atom
space group = Fm-3m
D(E_F) = 4.98 states/eV/f.u.
V = 124 Å³/cell


Entry 10:
VASP calculation (PBE-GGA) on a geometry-optimized EuTlCd2 structure.

abc: 3.993 3.993 7.120
angles: 90.00 90.00 90.00
Last column: magnetic moment on the atom in μB.
Element x y z (fractional)
Eu (0.500, 0.500, 0.500)  6.87
Tl (0.500, 0.500, 0.000)  0.00
Cd (0.000, 0.000, 0.762)  0.00
Cd (0.000, 0.000, 0.238)  0.00

Output
M_tot = 7.10 μB/cell
formation energy from the elements = -0.198 eV/atom
space group = P4/mmm
D(E_F) = 8.46 states/eV/f.u.
V = 114 Å³/cell


Entry 11:
VASP calculation (PBE-GGA) on a geometry-optimized EuTlCd structure.

abc: 3.892 3.892 6.439
angles: 107.59 107.59 90.00
Last column: magnetic moment on the atom in μB.
Element x y z (fractional)
Eu (0.614, 0.614, 0.227)  6.89
Tl (0.296, 0.296, 0.593)  0.01
Cd (0.940, 0.940, 0.880)  0.00

Output
M_tot = 7.16 μB/cell
formation energy from the elements = -0.266 eV/atom
space group = I4mm
D(E_F) = 7.54 states/eV/f.u.
V = 88 Å³/cell


Entry 12:
VASP calculation (PBE-GGA) on a geometry-optimized Eu2TlCd structure.

abc: 3.947 5.615 5.615
angles: 90.00 90.00 90.00
Last column: magnetic moment on the atom in μB.
Element x y z (fractional)
Eu (0.000, 0.000, 0.500)  6.85
Eu (0.000, 0.500, 0.000)  6.85
Tl (0.500, 0.000, 0.000)  -0.01
Cd (0.500, 0.500, 0.500)  0.00

Output
M_tot = 14.15 μB/cell
formation energy from the elements = -0.399 eV/atom
space group = P4/mmm
D(E_F) = 16.32 states/eV/f.u.
V = 124 Å³/cell


- V of number 6 (EuTlCd2)?
  110 Å³/cell


- Among the records above, which one has the lowest formation energy from the elements?
  number 9